DyGaFe: optimized geometry, GGA-PBE.

CIF file:
```
data_DyGaFe
_chemical_formula_sum 'Dy4 Ga4 Fe4'
_symmetry_space_group_name_H-M 'I m m a'
_symmetry_Int_Tables_number 74
_symmetry_space_group_name_Hall '-I 2b 2'
_cell_length_a 5.245
_cell_length_b 5.492
_cell_length_c 7.318
_cell_angle_alpha 90.00
_cell_angle_beta 90.00
_cell_angle_gamma 90.00
loop_
_atom_site_label
_atom_site_fract_x
_atom_site_fract_y
_atom_site_fract_z
_atom_site_occupancy
Dy1 0.000 0.250 0.114 1
Ga1 0.000 0.000 0.500 1
Fe1 0.250 0.250 0.750 1
```

Summary:
Crystal system: orthorhombic
Volume in Å³/f.u.: 52.7
E_form in eV per atom: -0.347
Total magnetic moment in μB per cell: 6.57